{"formula": "Na2CaPb8", "functional": "PBE", "state": "relaxed", "lattice_angstrom": [[8.8457, -3.3456, 0.0000], [8.8457, 3.3456, 0.0000], [-0.6212, 0.0000, 5.9284]], "species": ["Na", "Na", "Ca", "Pb", "Pb", "Pb", "Pb", "Pb", "Pb", "Pb", "Pb"], "frac_coords": [[0.2058, 0.2058, 0.2045], [0.7942, 0.7942, 0.7955], [0.5000, 0.5000, 0.0000], [0.0310, 0.0310, 0.2567], [0.1179, 0.6192, 0.3086], [0.3088, 0.3088, 0.7562], [0.3808, 0.8821, 0.6914], [0.6192, 0.1179, 0.3086], [0.6912, 0.6912, 0.2438], [0.8821, 0.3808, 0.6914], [0.9690, 0.9690, 0.7433]], "crystal_system": "monoclinic", "e_tot_ev_per_atom": -3.200, "formation_energy_ev_per_atom": -0.081}